## CsRb2VCl6 (PBE)

Data for an optimized crystal structure of CsRb2VCl6.

## Properties
Crystal system: orthorhombic
Final energy: -39.75 eV/f.u.
E above lowest polymorph: 0.0 meV/atom

Lattice parameters (Å, degrees): 7.2528 11.1246 9.1189 90.00 90.00 90.00
With the nearest neighbours (Å) after each atom.
Positions (direct):
Cs: 0.2500 0.2500 0.1718  6 Cl 3.41-3.49
Cs: 0.7500 0.7500 0.8282  6 Cl 3.41-3.49
Rb: 0.2500 0.0467 0.6612  7 Cl 3.28-3.64
Rb: 0.2500 0.4533 0.6612  7 Cl 3.28-3.64
Rb: 0.7500 0.5467 0.3388  7 Cl 3.28-3.64
Rb: 0.7500 0.9533 0.3388  7 Cl 3.28-3.64
V: 0.2500 0.7500 0.3188  6 Cl 2.39-2.42
V: 0.7500 0.2500 0.6812  6 Cl 2.39-2.42
Cl: 0.0113 0.7500 0.1388  1 V 2.39
Cl: 0.0223 0.7500 0.5130  1 V 2.42
Cl: 0.2500 0.5332 0.3147  1 V 2.41
Cl: 0.2500 0.9668 0.3147  1 V 2.41
Cl: 0.4777 0.7500 0.5130  1 V 2.42
Cl: 0.4887 0.7500 0.1388  1 V 2.39
Cl: 0.5113 0.2500 0.8612  1 V 2.39
Cl: 0.5223 0.2500 0.4870  1 V 2.42
Cl: 0.7500 0.0332 0.6853  1 V 2.41
Cl: 0.7500 0.4668 0.6853  1 V 2.41
Cl: 0.9777 0.2500 0.4870  1 V 2.42
Cl: 0.9887 0.2500 0.8612  1 V 2.39